Density functional theory data (PBE) for a relaxed structure of SrLa2TaNb.

## Properties
D(E_F) = 2.49 states/eV/atom

Cell lengths 5.457, 5.457, 5.720 Å; angles 90.00, 90.00, 90.00 degrees
Space group P4/mmm (No. 123)
One atom of each set of equivalent atoms:
1 Sr 0.000 0.000 0.000
2 La 0.000 0.500 0.500
3 Ta 0.500 0.500 0.000
4 Nb 0.000 0.000 0.500

Density functional theory data (PBE) for a relaxed structure of LaTaNb2.

## Properties
D(E_F) = 2.00 states/eV/atom
E above lowest polymorph = 0.000 eV per atom

Cell lengths 6.936, 6.936, 6.936 Å; angles 90.00, 90.00, 90.00 degrees
Space group Fm-3m (No. 225)
One atom of each set of equivalent atoms:
1 La 0.000 0.000 0.000
2 Ta 0.000 0.000 0.500
3 Nb 0.250 0.250 0.250

Density functional theory data (PBE) for a relaxed structure of La3TaNb.

## Properties
D(E_F) = 1.19 states/eV/atom
E above lowest polymorph = 0.000 eV per atom

Cell lengths 5.474, 5.474, 5.474 Å; angles 90.00, 90.00, 90.00 degrees
Space group Pm-3m (No. 221)
One atom of each set of equivalent atoms:
1 La 0.000 0.000 0.500
2 Ta 0.500 0.500 0.500
3 Nb 0.000 0.000 0.000

Density functional theory data (PBE) for a relaxed structure of LaTa3Nb.

## Properties
D(E_F) = 1.03 states/eV/atom
E above lowest polymorph = 0.000 eV per atom

Cell lengths 4.996, 4.996, 4.996 Å; angles 90.00, 90.00, 90.00 degrees
Space group Pm-3m (No. 221)
One atom of each set of equivalent atoms:
1 La 0.000 0.000 0.000
2 Ta 0.000 0.500 0.500
3 Nb 0.500 0.500 0.500

Density functional theory data (PBE) for a relaxed structure of La2TaNb2.

## Properties
D(E_F) = 1.20 states/eV/atom

Cell lengths 6.946, 6.946, 5.303 Å; angles 90.00, 90.00, 90.00 degrees
Space group P4/mbm (No. 127)
One atom of each set of equivalent atoms:
1 La 0.173 0.327 0.000
2 Ta 0.000 0.000 0.500
3 Nb 0.142 0.642 0.500

Density functional theory data (PBE) for a relaxed structure of La2TaNb.

## Properties
D(E_F) = 1.24 states/eV/atom

Cell lengths 8.362, 8.362, 5.909 Å; angles 90.00, 90.00, 90.00 degrees
Space group I-42d (No. 122)
One atom of each set of equivalent atoms:
1 La 0.249 0.250 0.125
2 Ta 0.000 0.000 0.500
3 Nb 0.000 0.000 0.000

Density functional theory data (PBE) for a relaxed structure of LaTa3Nb.

## Properties
D(E_F) = 1.63 states/eV/atom
E above lowest polymorph = 1.146 eV per atom

Cell lengths 4.872, 4.872, 4.872 Å; angles 90.00, 90.00, 90.00 degrees
Space group Pm-3m (No. 221)
One atom of each set of equivalent atoms:
1 La 0.000 0.000 0.000
2 Ta 0.000 0.000 0.500
3 Nb 0.500 0.500 0.500

Density functional theory data (PBE) for a relaxed structure of LaTaNb2.

## Properties
D(E_F) = 1.05 states/eV/atom
E above lowest polymorph = 0.415 eV per atom

Cell lengths 7.793, 7.793, 5.919 Å; angles 90.00, 90.00, 90.00 degrees
Space group I-42d (No. 122)
One atom of each set of equivalent atoms:
1 La 0.000 0.000 0.000
2 Ta 0.000 0.000 0.500
3 Nb 0.227 0.250 0.625

Density functional theory data (PBE) for a relaxed structure of LaTaTiNb2.

## Properties
D(E_F) = 1.28 states/eV/atom

Cell lengths 4.860, 4.860, 4.954 Å; angles 90.00, 90.00, 90.00 degrees
Space group P4/mmm (No. 123)
One atom of each set of equivalent atoms:
1 La 0.000 0.000 0.000
2 Ta 0.000 0.000 0.500
3 Ti 0.500 0.500 0.500
4 Nb 0.000 0.500 0.000

Density functional theory data (PBE) for a relaxed structure of LaYTa2Nb.

## Properties
D(E_F) = 1.46 states/eV/atom

Cell lengths 5.029, 5.029, 4.974 Å; angles 90.00, 90.00, 90.00 degrees
Space group P4/mmm (No. 123)
One atom of each set of equivalent atoms:
1 La 0.000 0.000 0.000
2 Y 0.500 0.500 0.500
3 Ta 0.000 0.500 0.000
4 Nb 0.000 0.000 0.500

Density functional theory data (PBE) for a relaxed structure of La2TbNb.

## Properties
D(E_F) = 1.67 states/eV/atom

Cell lengths 3.3409, 3.3409, 36.2246 Å; angles 90.00, 90.00, 120.00 degrees
Space group R-3m (No. 166, hexagonal axes)
One atom of each set of equivalent atoms:
1 La 0.0000 0.0000 0.0798
2 Tb 0.0000 0.0000 0.5000
3 Nb 0.0000 0.0000 0.0000

Density functional theory data (PBE) for a relaxed structure of LaTb2Nb.

## Properties
D(E_F) = 1.75 states/eV/atom

Cell lengths 3.3328, 3.3328, 35.5940 Å; angles 90.00, 90.00, 120.00 degrees
Space group R-3m (No. 166, hexagonal axes)
One atom of each set of equivalent atoms:
1 La 0.0000 0.0000 0.0000
2 Tb 0.0000 0.0000 0.4188
3 Nb 0.0000 0.0000 0.5000

| no. | final energy (eV/atom) |
| --- | --- |
| 1 | -5.29 |
| 2 | -8.82 |
| 3 | -6.18 |
| 4 | -9.00 |
| 5 | -7.88 |
| 6 | -6.95 |
| 7 | -7.86 |
| 8 | -8.41 |
| 9 | -7.05 |
| 10 | -7.44 |
| 11 | -5.57 |
| 12 | -5.49 |